No. 1
# Dy3Ho2Hg6 | Alexandria | PBE | relaxed
# DFT formation energy in kJ/mol of atoms: -9.8
# E in eV per formula unit: -25.9
data_Dy3Ho2Hg6
_cell_length_a 5.0765
_cell_length_b 5.0765
_cell_length_c 26.4406
_cell_angle_alpha 90.00
_cell_angle_beta 90.00
_cell_angle_gamma 90.00
_symmetry_space_group_name_H-M 'I 4/m m m'
_symmetry_Int_Tables_number 139
_symmetry_space_group_name_Hall '-I 4 2'
loop_
_atom_site_label
_atom_site_fract_x
_atom_site_fract_y
_atom_site_fract_z
_atom_site_occupancy
Dy1 0.0000 0.0000 0.0000 1
Dy2 0.0000 0.0000 0.1390 1
Ho1 0.0000 0.0000 0.3716 1
Hg1 0.0000 0.0000 0.2559 1
Hg2 0.0000 0.5000 0.0663 1



No. 2
# Nb3SiSe | Alexandria | PBE | relaxed
# Raw formation energy in meV per atom: 777
# E in eV per formula unit: -35.2
data_Nb3SiSe
_cell_length_a 4.7117
_cell_length_b 4.7117
_cell_length_c 4.7117
_cell_angle_alpha 90.00
_cell_angle_beta 90.00
_cell_angle_gamma 90.00
_symmetry_space_group_name_H-M 'P m -3 m'
_symmetry_Int_Tables_number 221
_symmetry_space_group_name_Hall '-P 4 2 3'
loop_
_atom_site_label
_atom_site_fract_x
_atom_site_fract_y
_atom_site_fract_z
_atom_site_occupancy
Nb1 0.0000 0.0000 0.5000 1
Si1 0.0000 0.0000 0.0000 1
Se1 0.5000 0.5000 0.5000 1



No. 3
# K2HfTeS | Alexandria | PBE | relaxed
# Raw formation energy in meV per atom: 221
# E in eV per formula unit: -18.3
data_K2HfTeS
_cell_length_a 6.3192
_cell_length_b 6.3192
_cell_length_c 5.4247
_cell_angle_alpha 90.00
_cell_angle_beta 90.00
_cell_angle_gamma 90.00
_symmetry_space_group_name_H-M 'P 4/m m m'
_symmetry_Int_Tables_number 123
_symmetry_space_group_name_Hall '-P 4 2'
loop_
_atom_site_label
_atom_site_fract_x
_atom_site_fract_y
_atom_site_fract_z
_atom_site_occupancy
K1 0.0000 0.5000 0.0000 1
Hf1 0.0000 0.0000 0.5000 1
Te1 0.0000 0.0000 0.0000 1
S1 0.5000 0.5000 0.5000 1



No. 4
# NaSr3Pr2Se6 | Alexandria | PBE | relaxed
# Raw formation energy in meV per atom: -1881
# E in eV per formula unit: -59.4
data_NaSr3Pr2Se6
_cell_length_a 7.5512
_cell_length_b 13.0683
_cell_length_c 7.5594
_cell_angle_alpha 90.00
_cell_angle_beta 109.42
_cell_angle_gamma 90.00
_symmetry_space_group_name_H-M 'C 1 2/m 1'
_symmetry_Int_Tables_number 12
loop_
_symmetry_equiv_pos_as_xyz
'x,y,z'
'-x,-y,-z'
'-x,y,-z'
'x,-y,z'
'x+1/2,y+1/2,z'
'-x+1/2,-y+1/2,-z'
'-x+1/2,y+1/2,-z'
'x+1/2,-y+1/2,z'
loop_
_atom_site_label
_atom_site_fract_x
_atom_site_fract_y
_atom_site_fract_z
_atom_site_occupancy
Na1 0.0000 0.0000 0.0000 1
Sr1 0.0000 0.1644 0.5000 1
Sr2 0.0000 0.5000 0.5000 1
Pr1 0.0000 0.3329 0.0000 1
Se1 0.2416 0.5000 0.2398 1
Se2 0.2500 0.1693 0.2414 1



No. 5
# Ba2VCo | Alexandria | PBE | relaxed
# DFT formation energy in kJ/mol of atoms: 93.3
# E in eV per formula unit: -16.2
data_Ba2VCo
_cell_length_a 7.9192
_cell_length_b 7.9192
_cell_length_c 7.9192
_cell_angle_alpha 90.00
_cell_angle_beta 90.00
_cell_angle_gamma 90.00
_symmetry_space_group_name_H-M 'F m -3 m'
_symmetry_Int_Tables_number 225
_symmetry_space_group_name_Hall '-F 4 2 3'
loop_
_atom_site_label
_atom_site_fract_x
_atom_site_fract_y
_atom_site_fract_z
_atom_site_occupancy
Ba1 0.2500 0.2500 0.2500 1
V1 0.0000 0.0000 0.0000 1
Co1 0.0000 0.0000 0.5000 1



No. 6
# CaPr2SmBi4 | Alexandria | PBE | relaxed
# DFT formation energy in kJ/mol of atoms: -83.0
# E in eV per formula unit: -38.7
data_CaPr2SmBi4
_cell_length_a 7.9792
_cell_length_b 4.6110
_cell_length_c 8.0293
_cell_angle_alpha 90.00
_cell_angle_beta 109.45
_cell_angle_gamma 90.00
_symmetry_space_group_name_H-M 'P 1 2/m 1'
_symmetry_Int_Tables_number 10
loop_
_symmetry_equiv_pos_as_xyz
'x,y,z'
'-x,-y,-z'
'-x,y,-z'
'x,-y,z'
loop_
_atom_site_label
_atom_site_fract_x
_atom_site_fract_y
_atom_site_fract_z
_atom_site_occupancy
Ca1 0.0000 0.0000 0.0000 1
Pr1 0.5000 0.0000 0.5000 1
Pr2 0.5000 0.5000 0.0000 1
Sm1 0.0000 0.5000 0.5000 1
Bi1 0.2456 0.0000 0.7471 1
Bi2 0.2472 0.5000 0.2511 1



No. 7
# CdIrSe2 | Alexandria | PBE | relaxed
# Raw formation energy in meV per atom: 297
# E in eV per formula unit: -15.6
data_CdIrSe2
_cell_length_a 2.9488
_cell_length_b 5.4022
_cell_length_c 10.5298
_cell_angle_alpha 90.00
_cell_angle_beta 90.00
_cell_angle_gamma 90.00
_symmetry_space_group_name_H-M 'C m m m'
_symmetry_Int_Tables_number 65
_symmetry_space_group_name_Hall '-C 2 2'
loop_
_atom_site_label
_atom_site_fract_x
_atom_site_fract_y
_atom_site_fract_z
_atom_site_occupancy
Cd1 0.0000 0.0000 0.0000 1
Ir1 0.0000 0.0000 0.5000 1
Se1 0.0000 0.5000 0.3040 1



No. 8
# BaMnW2 | Alexandria | PBE | relaxed
# DFT formation energy in kJ/mol of atoms: 138.9
# E in eV per formula unit: -31.2
data_BaMnW2
_cell_length_a 5.5636
_cell_length_b 10.5965
_cell_length_c 2.8935
_cell_angle_alpha 90.00
_cell_angle_beta 111.97
_cell_angle_gamma 90.00
_symmetry_space_group_name_H-M 'C 1 2/m 1'
_symmetry_Int_Tables_number 12
loop_
_symmetry_equiv_pos_as_xyz
'x,y,z'
'-x,-y,-z'
'-x,y,-z'
'x,-y,z'
'x+1/2,y+1/2,z'
'-x+1/2,-y+1/2,-z'
'-x+1/2,y+1/2,-z'
'x+1/2,-y+1/2,z'
loop_
_atom_site_label
_atom_site_fract_x
_atom_site_fract_y
_atom_site_fract_z
_atom_site_occupancy
Ba1 0.0000 0.0000 0.0000 1
Mn1 0.0000 0.5000 0.0000 1
W1 0.2500 0.2500 0.5000 1